# 1
First-principles (PBE) data for a relaxed structure of B7C5, as listed in Alexandria.

Lattice parameters (Å, degrees): 4.146 4.146 5.417 109.26 109.26 65.60
Element x y z (fractional)
B (0.000, 0.000, 0.000)
B (0.123, 0.530, 0.414)
B (0.145, 0.512, 0.913)
B (0.470, 0.877, 0.586)
B (0.488, 0.855, 0.087)
B (0.755, 0.232, 0.260)
B (0.768, 0.245, 0.740)
C (0.001, 0.999, 0.500)
C (0.302, 0.308, 0.157)
C (0.323, 0.332, 0.659)
C (0.668, 0.677, 0.341)
C (0.692, 0.698, 0.843)

Offset from the most stable computed form   0.2589 eV per atom
ΔH_f (0 K)   423 meV per atom
Space group   C2 (5)
Magnetic moment   0.000 μB per formula unit


# 2
First-principles (PBE) data for a relaxed structure of BC, as listed in Alexandria.

Lattice parameters (Å, degrees): 3.848 2.572 8.499 90.00 90.97 90.00
Element x y z (fractional)
B (0.000, 0.000, 0.000)
B (0.004, 0.000, 0.598)
B (0.260, 0.500, 0.674)
B (0.296, 0.500, 0.965)
B (0.550, 0.500, 0.412)
B (0.711, 0.000, 0.757)
C (0.021, 0.000, 0.284)
C (0.253, 0.500, 0.284)
C (0.516, 0.500, 0.140)
C (0.530, 0.500, 0.811)
C (0.746, 0.000, 0.139)
C (0.787, 0.000, 0.438)

Offset from the most stable computed form   0.2701 eV per atom
ΔH_f (0 K)   421 meV per atom
Space group   Pm (6)
Magnetic moment   0.000 μB per formula unit


# 3
First-principles (PBE) data for a relaxed structure of B7C5, as listed in Alexandria.

Lattice parameters (Å, degrees): 4.601 4.700 4.783 62.81 81.58 66.66
Element x y z (fractional)
B (0.000, 0.000, 0.000)
B (0.008, 0.261, 0.182)
B (0.213, 0.250, 0.764)
B (0.221, 0.521, 0.994)
B (0.601, 0.049, 0.020)
B (0.628, 0.398, 0.372)
B (0.639, 0.431, 0.980)
C (0.043, 0.648, 0.623)
C (0.176, 0.870, 0.382)
C (0.534, 0.767, 0.358)
C (0.557, 0.094, 0.659)
C (0.686, 0.745, 0.653)

Offset from the most stable computed form   0.2391 eV per atom
ΔH_f (0 K)   404 meV per atom
Space group   P1 (1)
Magnetic moment   0.000 μB per formula unit


# 4
First-principles (PBE) data for a relaxed structure of BC, as listed in Alexandria.

Lattice parameters (Å, degrees): 2.602 2.602 13.824 90.00 90.00 120.00
Element x y z (fractional)
B (0.000, 0.000, 0.000)
B (0.000, 0.000, 0.122)
B (0.000, 0.000, 0.629)
B (0.333, 0.667, 0.199)
B (0.333, 0.667, 0.793)
B (0.667, 0.333, 0.470)
C (0.000, 0.000, 0.513)
C (0.333, 0.667, 0.315)
C (0.333, 0.667, 0.679)
C (0.667, 0.333, 0.348)
C (0.667, 0.333, 0.845)
C (0.667, 0.333, 0.947)

Offset from the most stable computed form   0.2982 eV per atom
ΔH_f (0 K)   449 meV per atom
Space group   P3m1 (156)
Magnetic moment   0.000 μB per formula unit


# 5
First-principles (PBE) data for a relaxed structure of B7C5, as listed in Alexandria.

Lattice parameters (Å, degrees): 6.130 6.130 4.787 92.77 92.77 25.53
Element x y z (fractional)
B (0.000, 0.000, 0.000)
B (0.087, 0.087, 0.337)
B (0.520, 0.520, 0.521)
B (0.628, 0.628, 0.852)
B (0.658, 0.658, 0.510)
B (0.796, 0.796, 0.624)
B (0.947, 0.947, 0.340)
C (0.152, 0.152, 0.020)
C (0.282, 0.282, 0.090)
C (0.336, 0.336, 0.790)
C (0.466, 0.466, 0.847)
C (0.818, 0.818, 0.253)

Offset from the most stable computed form   0.2020 eV per atom
ΔH_f (0 K)   366 meV per atom
Space group   Cm (8)
Magnetic moment   0.000 μB per formula unit


# 6
First-principles (PBE) data for a relaxed structure of BC, as listed in Alexandria.

Lattice parameters (Å, degrees): 2.630 7.885 3.999 90.00 90.00 90.00
Element x y z (fractional)
B (0.000, 0.000, 0.000)
B (0.000, 0.137, 0.674)
B (0.000, 0.361, 0.047)
B (0.000, 0.639, 0.047)
B (0.000, 0.863, 0.674)
B (0.500, 0.000, 0.295)
C (0.000, 0.500, 0.750)
C (0.500, 0.183, 0.494)
C (0.500, 0.340, 0.284)
C (0.500, 0.500, 0.525)
C (0.500, 0.660, 0.284)
C (0.500, 0.817, 0.494)

Offset from the most stable computed form   0.2105 eV per atom
ΔH_f (0 K)   361 meV per atom
Space group   Pmm2 (25)
Magnetic moment   0.000 μB per formula unit


# 7
First-principles (PBE) data for a relaxed structure of BC, as listed in Alexandria.

Lattice parameters (Å, degrees): 4.476 4.566 4.697 61.93 72.95 77.00
Element x y z (fractional)
B (0.000, 0.000, 0.000)
B (0.005, 0.376, 0.450)
B (0.031, 0.561, 0.874)
B (0.334, 0.718, 0.572)
B (0.437, 0.298, 0.964)
B (0.840, 0.780, 0.546)
C (0.365, 0.970, 0.954)
C (0.369, 0.310, 0.322)
C (0.478, 0.659, 0.246)
C (0.498, 0.983, 0.592)
C (0.814, 0.346, 0.811)
C (0.833, 0.657, 0.183)

Offset from the most stable computed form   0.2439 eV per atom
ΔH_f (0 K)   395 meV per atom
Space group   P1 (1)
Magnetic moment   0.000 μB per formula unit


# 8
First-principles (PBE) data for a relaxed structure of B7C5, as listed in Alexandria.

Lattice parameters (Å, degrees): 4.674 4.674 5.164 102.10 102.10 49.93
Element x y z (fractional)
B (0.000, 0.000, 0.000)
B (0.325, 0.018, 0.477)
B (0.395, 0.304, 0.704)
B (0.401, 0.260, 0.096)
B (0.696, 0.605, 0.296)
B (0.740, 0.599, 0.904)
B (0.982, 0.675, 0.523)
C (0.069, 0.605, 0.895)
C (0.395, 0.931, 0.105)
C (0.736, 0.241, 0.254)
C (0.759, 0.264, 0.746)
C (0.976, 0.024, 0.500)

Offset from the most stable computed form   0.2142 eV per atom
ΔH_f (0 K)   379 meV per atom
Space group   C2 (5)
Magnetic moment   0.000 μB per formula unit


# 9
First-principles (PBE) data for a relaxed structure of B3C, as listed in Alexandria.

Lattice parameters (Å, degrees): 4.854 2.769 5.894 90.00 97.12 90.00
Element x y z (fractional)
B (0.000, 0.000, 0.000)
B (0.037, 0.000, 0.311)
B (0.224, 0.500, 0.945)
B (0.329, 0.000, 0.545)
B (0.456, 0.000, 0.284)
B (0.576, 0.500, 0.872)
B (0.730, 0.000, 0.552)
B (0.867, 0.500, 0.178)
B (0.960, 0.500, 0.496)
C (0.258, 0.500, 0.669)
C (0.515, 0.500, 0.153)
C (0.725, 0.000, 0.821)

Offset from the most stable computed form   0.0830 eV per atom
ΔH_f (0 K)   324 meV per atom
Space group   Pm (6)
Magnetic moment   0.000 μB per formula unit


# 10
First-principles (PBE) data for a relaxed structure of B3C, as listed in Alexandria.

Lattice parameters (Å, degrees): 2.665 2.665 15.716 90.00 90.00 120.00
Element x y z (fractional)
B (0.000, 0.000, 0.000)
B (0.000, 0.000, 0.105)
B (0.000, 0.000, 0.529)
B (0.000, 0.000, 0.635)
B (0.333, 0.667, 0.132)
B (0.333, 0.667, 0.355)
B (0.333, 0.667, 0.700)
B (0.667, 0.333, 0.463)
B (0.667, 0.333, 0.935)
C (0.333, 0.667, 0.801)
C (0.667, 0.333, 0.362)
C (0.667, 0.333, 0.834)

Offset from the most stable computed form   0.3391 eV per atom
ΔH_f (0 K)   580 meV per atom
Space group   P3m1 (156)
Magnetic moment   0.000 μB per formula unit


# 11
First-principles (PBE) data for a relaxed structure of BC, as listed in Alexandria.

Lattice parameters (Å, degrees): 6.869 6.869 4.834 104.80 104.80 21.77
Element x y z (fractional)
B (0.091, 0.091, 0.245)
B (0.247, 0.247, 0.385)
B (0.399, 0.399, 0.251)
B (0.601, 0.601, 0.749)
B (0.753, 0.753, 0.615)
B (0.909, 0.909, 0.755)
C (0.058, 0.058, 0.545)
C (0.261, 0.261, 0.084)
C (0.442, 0.442, 0.955)
C (0.558, 0.558, 0.045)
C (0.739, 0.739, 0.916)
C (0.942, 0.942, 0.455)

Offset from the most stable computed form   0.2405 eV per atom
ΔH_f (0 K)   391 meV per atom
Space group   C2/m (12)
Magnetic moment   0.000 μB per formula unit


# 12
First-principles (PBE) data for a relaxed structure of B7C5, as listed in Alexandria.

Lattice parameters (Å, degrees): 4.485 4.502 4.830 103.26 103.25 110.24
Element x y z (fractional)
B (0.000, 0.000, 0.000)
B (0.012, 0.975, 0.572)
B (0.070, 0.292, 0.346)
B (0.469, 0.889, 0.354)
B (0.560, 0.697, 0.849)
B (0.734, 0.559, 0.367)
B (0.902, 0.477, 0.852)
C (0.275, 0.803, 0.006)
C (0.308, 0.097, 0.869)
C (0.417, 0.593, 0.483)
C (0.617, 0.413, 0.001)
C (0.805, 0.233, 0.518)

Offset from the most stable computed form   0.2802 eV per atom
ΔH_f (0 K)   445 meV per atom
Space group   P1 (1)
Magnetic moment   0.000 μB per formula unit


# 13
First-principles (PBE) data for a relaxed structure of B3C5, as listed in Alexandria.

Lattice parameters (Å, degrees): 10.169 10.169 10.169 15.00 15.00 15.00
Element x y z (fractional)
B (0.000, 0.000, 0.000)
B (0.121, 0.121, 0.121)
B (0.534, 0.534, 0.534)
C (0.271, 0.271, 0.271)
C (0.327, 0.327, 0.327)
C (0.588, 0.588, 0.588)
C (0.794, 0.794, 0.794)
C (0.846, 0.846, 0.846)

Offset from the most stable computed form   0.0587 eV per atom
ΔH_f (0 K)   333 meV per atom
Space group   R3m (160)
Magnetic moment   0.000 μB per formula unit


# 14
First-principles (PBE) data for a relaxed structure of B3C, as listed in Alexandria.

Lattice parameters (Å, degrees): 5.131 2.466 6.813 90.00 93.08 90.00
Element x y z (fractional)
B (0.000, 0.000, 0.000)
B (0.022, 0.500, 0.410)
B (0.247, 0.000, 0.322)
B (0.381, 0.500, 0.682)
B (0.458, 0.500, 0.121)
B (0.511, 0.000, 0.482)
B (0.632, 0.000, 0.731)
B (0.689, 0.500, 0.361)
B (0.825, 0.500, 0.146)
C (0.063, 0.500, 0.664)
C (0.294, 0.000, 0.090)
C (0.941, 0.000, 0.757)

Offset from the most stable computed form   0.2697 eV per atom
ΔH_f (0 K)   510 meV per atom
Space group   Pm (6)
Magnetic moment   0.000 μB per formula unit


# 15
First-principles (PBE) data for a relaxed structure of BC, as listed in Alexandria.

Lattice parameters (Å, degrees): 4.714 4.714 8.087 114.43 114.43 31.34
Element x y z (fractional)
B (0.072, 0.072, 0.244)
B (0.359, 0.359, 0.340)
B (0.408, 0.408, 0.907)
B (0.592, 0.592, 0.093)
B (0.641, 0.641, 0.660)
B (0.928, 0.928, 0.756)
C (0.101, 0.101, 0.747)
C (0.249, 0.249, 0.943)
C (0.256, 0.256, 0.454)
C (0.744, 0.744, 0.546)
C (0.751, 0.751, 0.057)
C (0.899, 0.899, 0.253)

Offset from the most stable computed form   0.2653 eV per atom
ΔH_f (0 K)   416 meV per atom
Space group   C2/m (12)
Magnetic moment   0.000 μB per formula unit


# 16
First-principles (PBE) data for a relaxed structure of B7C5, as listed in Alexandria.

Lattice parameters (Å, degrees): 4.328 4.328 8.726 115.56 115.56 34.83
Element x y z (fractional)
B (0.000, 0.000, 0.000)
B (0.001, 0.001, 0.334)
B (0.188, 0.188, 0.905)
B (0.487, 0.487, 0.517)
B (0.547, 0.547, 0.747)
B (0.724, 0.724, 0.640)
B (0.811, 0.811, 0.406)
C (0.206, 0.206, 0.115)
C (0.345, 0.345, 0.729)
C (0.385, 0.385, 0.921)
C (0.617, 0.617, 0.414)
C (0.792, 0.792, 0.203)

Offset from the most stable computed form   0.1508 eV per atom
ΔH_f (0 K)   315 meV per atom
Space group   Cm (8)
Magnetic moment   0.000 μB per formula unit


# 17
First-principles (PBE) data for a relaxed structure of B7C5, as listed in Alexandria.

Lattice parameters (Å, degrees): 2.384 2.501 13.543 90.00 90.00 90.00
Element x y z (fractional)
B (0.000, 0.000, 0.000)
B (0.000, 0.000, 0.293)
B (0.000, 0.000, 0.682)
B (0.000, 0.500, 0.388)
B (0.500, 0.000, 0.581)
B (0.500, 0.500, 0.486)
B (0.500, 0.500, 0.840)
C (0.000, 0.500, 0.076)
C (0.000, 0.500, 0.756)
C (0.500, 0.000, 0.209)
C (0.500, 0.000, 0.917)
C (0.500, 0.500, 0.144)

Offset from the most stable computed form   0.2512 eV per atom
ΔH_f (0 K)   416 meV per atom
Space group   Pmm2 (25)
Magnetic moment   0.000 μB per formula unit


# 18
First-principles (PBE) data for a relaxed structure of B7C5, as listed in Alexandria.

Lattice parameters (Å, degrees): 6.943 6.943 4.996 107.99 107.99 21.00
Element x y z (fractional)
B (0.000, 0.000, 0.000)
B (0.137, 0.137, 0.212)
B (0.326, 0.326, 0.006)
B (0.460, 0.460, 0.199)
B (0.505, 0.505, 0.561)
B (0.659, 0.659, 0.986)
B (0.797, 0.797, 0.224)
C (0.171, 0.171, 0.549)
C (0.291, 0.291, 0.671)
C (0.630, 0.630, 0.657)
C (0.834, 0.834, 0.562)
C (0.951, 0.951, 0.669)

Offset from the most stable computed form   0.2913 eV per atom
ΔH_f (0 K)   456 meV per atom
Space group   Cm (8)
Magnetic moment   0.000 μB per formula unit


# 19
First-principles (PBE) data for a relaxed structure of B3C7, as listed in Alexandria.

Lattice parameters (Å, degrees): 4.504 4.504 6.206 111.51 111.51 33.46
Element x y z (fractional)
B (0.000, 0.000, 0.000)
B (0.562, 0.562, 0.385)
B (0.705, 0.705, 0.944)
C (0.133, 0.133, 0.776)
C (0.167, 0.167, 0.559)
C (0.352, 0.352, 0.592)
C (0.365, 0.365, 0.347)
C (0.581, 0.581, 0.135)
C (0.788, 0.788, 0.216)
C (0.938, 0.938, 0.724)

Offset from the most stable computed form   0.0629 eV per atom
ΔH_f (0 K)   325 meV per atom
Space group   Cm (8)
Magnetic moment   0.000 μB per formula unit


# 20
First-principles (PBE) data for a relaxed structure of BC, as listed in Alexandria.

Lattice parameters (Å, degrees): 3.719 4.606 5.447 104.44 93.35 113.16
Element x y z (fractional)
B (0.000, 0.000, 0.000)
B (0.029, 0.674, 0.453)
B (0.355, 0.671, 0.711)
B (0.385, 0.675, 0.104)
B (0.424, 0.292, 0.547)
B (0.722, 0.023, 0.689)
C (0.055, 0.665, 0.905)
C (0.426, 0.338, 0.063)
C (0.656, 0.369, 0.833)
C (0.669, 0.323, 0.301)
C (0.752, 0.012, 0.237)
C (0.984, 0.005, 0.473)

Offset from the most stable computed form   0.2104 eV per atom
ΔH_f (0 K)   361 meV per atom
Space group   P1 (1)
Magnetic moment   0.000 μB per formula unit


| no. | calculated total energy (eV/atom) |
| --- | --- |
| 1 | -7.32 |
| 2 | -7.53 |
| 3 | -7.33 |
| 4 | -7.50 |
| 5 | -7.37 |
| 6 | -7.59 |
| 7 | -7.56 |
| 8 | -7.36 |
| 9 | -6.99 |
| 10 | -6.73 |
| 11 | -7.56 |
| 12 | -7.29 |
| 13 | -7.94 |
| 14 | -6.80 |
| 15 | -7.53 |
| 16 | -7.42 |
| 17 | -7.32 |
| 18 | -7.28 |
| 19 | -8.13 |
| 20 | -7.59 |